Computed, not measured: a geometry-optimized MnBiRhO6 structure at the PBE+U level of DFT.

The symmetry is P4_2nm, No. 102. The total magnetization is 0.525 μB per atom. The calculation puts the total energy at -6.340 eV/atom.

Lattice parameters (Å, degrees): 4.789 4.789 9.585 90.00 90.00 90.00
Fractional positions:
Mn 0.000 0.000 0.000
Mn 0.500 0.500 0.500
Bi 0.000 0.000 0.666
Bi 0.500 0.500 0.166
Rh 0.000 0.000 0.334
Rh 0.500 0.500 0.834
O 0.178 0.178 0.162
O 0.195 0.195 0.485
O 0.202 0.202 0.843
O 0.298 0.702 0.343
O 0.305 0.695 0.985
O 0.322 0.678 0.662
O 0.678 0.322 0.662
O 0.695 0.305 0.985
O 0.702 0.298 0.343
O 0.798 0.798 0.843
O 0.805 0.805 0.485
O 0.822 0.822 0.162